1.
Y3RhS: optimized geometry, PBE.

Cell and atoms, written as POSCAR:
```
Y3RhS
1.0
5.0854 0.0000 0.0000
0.0000 5.0854 0.0000
0.0000 0.0000 5.0854
Y Rh S
3 1 1
Direct
0.0000 0.0000 0.5000
0.0000 0.5000 0.0000
0.5000 0.0000 0.0000
0.5000 0.5000 0.5000
0.0000 0.0000 0.0000
```

Results
Fermi-level density of states = 9.67 states/eV/cell
SG = Pm-3m
crystal system = cubic
E above lowest polymorph = 0.000 eV per atom

***

2.
Y4RhS3: optimized geometry, PBE.

Cell and atoms, written as POSCAR:
```
Y4RhS3
1.0
4.0250 -5.6265 0.0000
4.0250 5.6265 0.0000
0.0000 0.0000 3.9109
Y Rh S
4 1 3
Direct
0.2438 0.2438 0.5000
0.2473 0.7527 0.0000
0.7527 0.2473 0.0000
0.7562 0.7562 0.5000
0.0000 0.0000 0.0000
0.0000 0.5000 0.5000
0.5000 0.0000 0.5000
0.5000 0.5000 0.0000
```

Results
Fermi-level density of states = 5.67 states/eV/cell
SG = Cmmm
crystal system = orthorhombic

***

3.
Y7RhS5: optimized geometry, PBE.

Cell and atoms, written as POSCAR:
```
Y7RhS5
1.0
1.9270 -6.4571 0.0000
1.9270 6.4571 0.0000
0.0000 0.0000 23.6359
Y Rh S
14 2 10
Direct
0.0380 0.9620 0.7500
0.1390 0.8610 0.0364
0.1390 0.8610 0.4636
0.3047 0.6953 0.6782
0.3047 0.6953 0.8218
0.4105 0.5895 0.1103
0.4105 0.5895 0.3897
0.5895 0.4105 0.6103
0.5895 0.4105 0.8897
0.6953 0.3047 0.1782
0.6953 0.3047 0.3218
0.8610 0.1390 0.5364
0.8610 0.1390 0.9636
0.9620 0.0380 0.2500
0.3047 0.6953 0.2500
0.6953 0.3047 0.7500
0.0511 0.9489 0.1415
0.0511 0.9489 0.3585
0.2241 0.7759 0.5708
0.2241 0.7759 0.9292
0.5000 0.5000 0.0000
0.5000 0.5000 0.5000
0.7759 0.2241 0.0708
0.7759 0.2241 0.4292
0.9489 0.0511 0.6415
0.9489 0.0511 0.8585
```

Results
Fermi-level density of states = 12.86 states/eV/cell
SG = Cmcm
crystal system = orthorhombic

***

4.
ZnRh3S: optimized geometry, PBE.

Cell and atoms, written as POSCAR:
```
ZnRh3S
1.0
4.5692 0.0000 0.0000
0.0000 4.5692 0.0000
0.0000 0.0000 4.5692
Zn Rh S
1 3 1
Direct
0.0000 0.0000 0.0000
0.0000 0.0000 0.5000
0.0000 0.5000 0.0000
0.5000 0.0000 0.0000
0.5000 0.5000 0.5000
```

Results
Fermi-level density of states = 6.55 states/eV/cell
SG = Pm-3m
crystal system = cubic
E above lowest polymorph = 1.212 eV per atom

***

5.
ZnRhS2: optimized geometry, PBE.

Cell and atoms, written as POSCAR:
```
ZnRhS2
1.0
1.8108 1.0455 6.8947
-1.8108 1.0455 6.8947
0.0000 -2.0910 6.8947
Zn Rh S
1 1 2
Direct
0.0000 0.0000 0.0000
0.5000 0.5000 0.5000
0.1095 0.1095 0.1095
0.8905 0.8905 0.8905
```

Results
Fermi-level density of states = 2.86 states/eV/cell
SG = R-3m
crystal system = trigonal

***

6.
ZnRh2S4: optimized geometry, PBE.

Cell and atoms, written as POSCAR:
```
ZnRh2S4
1.0
0.0000 5.0127 5.0127
5.0127 0.0000 5.0127
5.0127 5.0127 0.0000
Zn Rh S
2 4 8
Direct
0.1250 0.1250 0.1250
0.8750 0.8750 0.8750
0.0000 0.5000 0.5000
0.5000 0.0000 0.5000
0.5000 0.5000 0.0000
0.5000 0.5000 0.5000
0.2629 0.2629 0.2629
0.2629 0.2629 0.7112
0.2629 0.7112 0.2629
0.2888 0.7371 0.7371
0.7112 0.2629 0.2629
0.7371 0.2888 0.7371
0.7371 0.7371 0.2888
0.7371 0.7371 0.7371
```

Results
SG = Fd-3m
crystal system = cubic

***

7.
ZnRhS2: optimized geometry, PBE.

Cell and atoms, written as POSCAR:
```
ZnRhS2
1.0
-2.6549 2.6549 5.5096
2.6549 -2.6549 5.5096
2.6549 2.6549 -5.5096
Zn Rh S
2 2 4
Direct
0.0000 0.0000 0.0000
0.7500 0.2500 0.5000
0.2500 0.7500 0.5000
0.5000 0.5000 0.0000
0.1364 0.6250 0.0114
0.3750 0.3864 0.5114
0.6136 0.1250 0.9886
0.8750 0.8636 0.4886
```

Results
Fermi-level density of states = 4.87 states/eV/cell
SG = I-42d
crystal system = tetragonal

***

8.
ZnRh3S: optimized geometry, PBE.

Cell and atoms, written as POSCAR:
```
ZnRh3S
1.0
4.3542 0.0000 0.0000
0.0000 4.3542 0.0000
0.0000 0.0000 4.3542
Zn Rh S
1 3 1
Direct
0.0000 0.0000 0.0000
0.0000 0.5000 0.5000
0.5000 0.0000 0.5000
0.5000 0.5000 0.0000
0.5000 0.5000 0.5000
```

Results
Fermi-level density of states = 3.53 states/eV/cell
SG = Pm-3m
crystal system = cubic
E above lowest polymorph = 0.000 eV per atom

***

9.
ZnRhS3: optimized geometry, PBE.

Cell and atoms, written as POSCAR:
```
ZnRhS3
1.0
4.5595 0.0000 0.0000
0.0000 4.5595 0.0000
0.0000 0.0000 4.5595
Zn Rh S
1 1 3
Direct
0.0000 0.0000 0.0000
0.5000 0.5000 0.5000
0.0000 0.0000 0.5000
0.0000 0.5000 0.0000
0.5000 0.0000 0.0000
```

Results
Fermi-level density of states = 6.69 states/eV/cell
SG = Pm-3m
crystal system = cubic

***

10.
ZnRh2S: optimized geometry, PBE.

Cell and atoms, written as POSCAR:
```
ZnRh2S
1.0
1.4831 0.8563 7.5227
-1.4831 0.8563 7.5227
0.0000 -1.7125 7.5227
Zn Rh S
1 2 1
Direct
0.0000 0.0000 0.0000
0.2424 0.2424 0.2424
0.4242 0.4242 0.4242
0.8332 0.8332 0.8332
```

Results
Fermi-level density of states = 4.39 states/eV/cell
SG = R3m
crystal system = trigonal

***

11.
Zr4RhS: optimized geometry, PBE.

Cell and atoms, written as POSCAR:
```
Zr4RhS
1.0
6.6519 -1.6752 0.0000
6.6519 1.6752 0.0000
-2.6387 0.0000 5.6381
Zr Rh S
4 1 1
Direct
0.1452 0.1452 0.3206
0.3501 0.3501 0.1823
0.6499 0.6499 0.8177
0.8548 0.8548 0.6794
0.0000 0.0000 0.5000
0.5000 0.5000 0.0000
```

Results
Fermi-level density of states = 4.09 states/eV/cell
SG = C2/m
crystal system = monoclinic

***

12.
Zr2RhS: optimized geometry, PBE.

Cell and atoms, written as POSCAR:
```
Zr2RhS
1.0
1.8041 1.0416 6.8200
-1.8041 1.0416 6.8200
0.0000 -2.0832 6.8200
Zr Rh S
2 1 1
Direct
0.0000 0.0000 0.0000
0.1698 0.1698 0.1698
0.4170 0.4170 0.4170
0.5860 0.5860 0.5860
```

Results
Fermi-level density of states = 2.77 states/eV/cell
SG = R3m
crystal system = trigonal

***

| no. | energy (eV/cell) |
| --- | --- |
| 1 | -33.488 |
| 2 | -58.786 |
| 3 | -190.375 |
| 4 | -21.084 |
| 5 | -17.988 |
| 6 | -72.772 |
| 7 | -36.535 |
| 8 | -27.143 |
| 9 | -16.346 |
| 10 | -20.753 |
| 11 | -49.062 |
| 12 | -32.354 |